Below is crystalline KTmPb2 at its relaxed geometry, with properties calculated at the PBE level.

The structure in POSCAR format:
```
KTmPb2
1.0
4.069 0.000 0.000
0.000 4.069 0.000
0.000 0.000 8.073
K Pb Tm
1 2 1
Cartesian
2.034 2.034 4.037
0.000 0.000 1.590
0.000 0.000 6.483
2.034 2.034 0.000
```

## Properties
Energy of formation from the pure elements = -0.29 eV/atom
Space group = P4/mmm (123)

Below is crystalline ScHPb2Cl at its relaxed geometry, with properties calculated at the PBE level.

The structure in POSCAR format:
```
ScHPb2Cl
1.0
5.809 0.000 0.000
0.000 4.887 0.000
0.000 0.000 5.809
Pb Cl H Sc
2 1 1 1
Cartesian
0.000 0.000 2.905
2.905 0.000 0.000
0.000 2.444 0.000
2.905 2.444 2.905
0.000 0.000 0.000
```

## Properties
Space group = P4/mmm (123)

Below is crystalline Sc3SbPb at its relaxed geometry, with properties calculated at the PBE level.

The structure in POSCAR format:
```
Sc3SbPb
1.0
5.317 0.000 0.000
0.000 5.317 0.000
0.000 0.000 5.317
Sc Sb Pb
3 1 1
Cartesian
0.000 0.000 2.659
0.000 2.659 0.000
2.659 0.000 0.000
0.000 0.000 0.000
2.659 2.659 2.659
```

## Properties
Energy relative to the elements, uncorrected = -0.0575 eV/atom
Space group = Pm-3m (221)

Below is crystalline TcAgNF2 at its relaxed geometry, with properties calculated at the PBE level.

The structure in POSCAR format:
```
TcAgNF2
1.0
4.289 0.000 0.000
0.000 4.289 0.000
0.000 0.000 4.115
N Tc Ag F
1 1 1 2
Cartesian
0.000 0.000 2.058
2.145 2.145 2.058
0.000 0.000 0.000
2.145 0.000 0.000
0.000 2.145 0.000
```

## Properties
Energy relative to the elements, uncorrected = 0.6476 eV/atom
Space group = P4/mmm (123)

Below is crystalline Cs4HgBr at its relaxed geometry, with properties calculated at the PBE level.

The structure in POSCAR format:
```
Cs4HgBr
1.0
10.137 -0.328 -2.978
-5.758 8.350 -2.978
0.179 0.328 10.564
Cs Br Hg
8 2 2
Cartesian
5.180 3.781 3.764
0.137 4.258 6.038
8.305 0.057 6.041
-0.556 4.423 0.756
2.074 0.057 1.460
-2.922 8.103 3.974
4.333 3.929 -1.309
7.389 0.344 0.759
1.148 2.102 -1.561
-2.737 4.436 3.722
-0.626 8.302 0.851
3.259 5.968 -4.431
```

## Properties
Energy relative to the elements, uncorrected = -0.6200 eV/atom
Space group = I4_1md (109)

Below is crystalline LaIn2P at its relaxed geometry, with properties calculated at the PBE level.

The structure in POSCAR format:
```
LaIn2P
1.0
-0.781 -4.794 1.476
3.439 0.386 3.074
-2.411 1.517 3.649
In La P
2 1 1
Cartesian
0.560 1.036 3.661
0.982 1.818 6.423
-0.134 -1.921 2.419
0.380 -0.970 5.780
```

## Properties
Energy of formation from the pure elements = -0.44 eV/atom
Space group = Cmmm (65)

Below is crystalline Ni2GeAu at its relaxed geometry, with properties calculated at the PBE level.

The structure in POSCAR format:
```
Ni2GeAu
1.0
-3.896 -0.507 0.080
-1.603 -3.176 -1.669
-1.465 -3.442 3.332
Au Ni Ge
1 2 1
Cartesian
-3.471 -3.628 0.985
-1.772 -1.596 0.113
-1.523 -3.093 2.723
-5.145 -5.813 2.125
```

## Properties
Energy of formation from the pure elements = -0.02 eV/atom
Space group = R3m (160)

Below is crystalline Tb2Y2Rh3 at its relaxed geometry, with properties calculated at the PBE level.

The structure in POSCAR format:
```
Tb2Y2Rh3
1.0
-0.866 2.448 4.083
-3.670 -1.328 -2.846
1.196 -8.034 2.191
Rh Y Tb
3 2 2
Cartesian
-0.453 -5.139 2.976
-2.888 -1.775 0.451
0.000 0.000 0.000
-1.461 -7.235 1.150
-1.879 0.321 2.277
-3.113 -4.350 1.942
-0.227 -2.565 1.485
```

## Properties
Energy of formation from the pure elements = -0.76 eV/atom
Space group = C2/m (12)

Below is crystalline TeHS2Cl at its relaxed geometry, with properties calculated at the PBE level.

The structure in POSCAR format:
```
TeHS2Cl
1.0
3.901 0.000 0.000
0.000 3.901 0.000
0.000 0.000 5.895
S H Te Cl
2 1 1 1
Cartesian
1.951 0.000 0.000
0.000 1.951 0.000
0.000 0.000 0.000
1.951 1.951 2.948
0.000 0.000 2.948
```

## Properties
Space group = P4/mmm (123)

Below is crystalline Mg5InHg2Rh2 at its relaxed geometry, with properties calculated at the PBE level.

The structure in POSCAR format:
```
Mg5InHg2Rh2
1.0
-2.803 -2.841 1.210
6.601 -3.907 6.116
-3.033 6.026 7.123
Hg Rh Mg In
4 4 10 2
Cartesian
0.153 1.292 3.387
3.415 0.827 9.852
3.919 -1.586 5.352
-0.351 3.705 7.887
2.146 -0.763 3.179
4.657 -1.148 8.091
-1.089 3.267 5.148
1.422 2.882 10.061
2.014 -1.678 7.912
0.297 0.574 9.220
-0.274 -1.737 2.474
-3.253 3.022 6.747
0.469 -1.296 5.229
-2.918 1.592 4.167
1.899 -3.374 3.663
1.039 1.014 11.976
4.019 -3.745 7.702
-1.248 0.955 6.538
1.784 1.059 6.620
0.000 0.000 0.000
```

## Properties
Energy of formation from the pure elements = -0.21 eV/atom
Space group = P4/mbm (127)

Below is crystalline BaReAu2 at its relaxed geometry, with properties calculated at the PBE level.

The structure in POSCAR format:
```
BaReAu2
1.0
-0.311 -4.984 1.062
2.932 -2.018 3.660
-2.099 -1.549 4.388
Au Re Ba
2 1 1
Cartesian
0.130 -2.137 2.277
0.000 0.000 0.000
0.391 -6.412 6.832
0.261 -4.275 4.555
```

## Properties
Energy of formation from the pure elements = 0.89 eV/atom
Space group = F-43m (216)

Below is crystalline LiCaAgSn2 at its relaxed geometry, with properties calculated at the PBE level.

The structure in POSCAR format:
```
LiCaAgSn2
1.0
-0.677 -5.665 -3.325
-2.563 -2.399 4.610
-5.556 1.898 -2.102
Ag Sn Li Ca
2 4 2 2
Cartesian
0.000 0.000 0.000
-1.282 -1.200 2.305
-3.545 -2.973 1.944
-6.253 -2.048 0.920
-2.543 -4.119 -1.737
-5.252 -3.194 -2.762
-2.358 -5.442 1.319
-0.882 -2.622 -0.034
-5.247 -5.425 -0.279
-3.549 -0.741 -0.538
```

## Properties
Energy of formation from the pure elements = -0.34 eV/atom
Space group = Pmma (51)

Below is crystalline CeTmTc2 at its relaxed geometry, with properties calculated at the PBE level.

The structure in POSCAR format:
```
CeTmTc2
1.0
4.814 0.000 0.000
2.407 4.169 0.000
2.407 1.390 3.931
Tc Ce Tm
2 1 1
Cartesian
7.221 4.169 2.948
2.407 1.390 0.983
0.000 0.000 0.000
4.814 2.779 1.965
```

## Properties
Energy of formation from the pure elements = -0.01 eV/atom
Space group = Fm-3m (225)

Below is crystalline Pr2TmPuP4 at its relaxed geometry, with properties calculated at the PBE level.

The structure in POSCAR format:
```
Pr2TmPuP4
1.0
4.091 0.000 0.000
0.000 7.055 0.118
0.000 -2.470 6.631
Pr P Pu Tm
2 4 1 1
Cartesian
0.000 2.293 3.375
2.046 -1.235 3.315
2.046 1.142 1.570
0.000 -0.096 5.112
0.000 4.681 1.637
2.046 3.443 5.179
0.000 0.000 0.000
2.046 3.527 0.059
```

## Properties
Energy of formation from the pure elements = -1.43 eV/atom
Space group = P2/m (10)

Computed E (eV per atom) in order:
-3.533; -3.549; -5.423; -4.409; -1.518; -4.398; -4.884; -7.077; -2.654; -2.815; -4.338; -3.290; -7.797; -7.676